Record 1
4
Lattice="3.645 0.367 2.298 0.175 -1.540 4.037 2.368 -3.512 0.874" Properties=species:S:1:pos:R:3 comment="ScZnFe2 PBE optimized geometry" delta_e_f_ev_per_atom=-0.024 spacegroup=F-43m pbc="T T T"
Fe 0.000 0.000 0.000
Fe 4.641 -3.514 5.407
Zn 3.094 -2.342 3.605
Sc 1.547 -1.171 1.802



Record 2
3
Lattice="0.000 3.646 3.646 3.646 0.000 3.646 3.646 3.646 0.000" Properties=species:S:1:pos:R:3 comment="PrYNb PBE optimized geometry" delta_e_f_ev_per_atom=0.821 spacegroup=F-43m relative_energy_ev_per_fu=0.000 pbc="T T T"
Y 5.469 5.469 5.469
Pr 1.823 1.823 1.823
Nb 0.000 0.000 0.000



Record 3
5
Lattice="-0.079 4.797 4.367 -2.631 5.875 -0.810 -1.198 -6.334 -0.728" Properties=species:S:1:pos:R:3 comment="In2Pd2Pt PBE optimized geometry" spacegroup=I4/mmm total_energy_ev_per_cell=-21.29 pbc="T T T"
Pd -1.063 4.188 1.396
Pd -1.646 6.484 2.161
In -1.316 1.899 2.709
In -2.592 2.438 0.120
Pt 0.000 0.000 0.000



Record 4
12
Lattice="-7.067 1.072 5.284 4.327 -4.594 -6.259 5.467 -6.650 8.661" Properties=species:S:1:pos:R:3 comment="CsErTlTe3 PBE optimized geometry" spacegroup=Cmcm total_energy_ev_per_cell=-45.00 pbc="T T T"
Te 2.602 -7.595 9.424
Te -2.323 -4.236 11.127
Te 0.125 -2.578 -1.739
Te 0.071 -4.517 5.416
Te 2.656 -5.656 2.270
Te 5.050 -5.937 -3.442
Tl 0.654 -3.751 1.011
Tl 2.073 -6.422 6.674
Cs 5.575 -8.164 3.126
Cs -2.848 -2.009 4.560
Er 0.000 0.000 0.000
Er 2.734 -3.325 4.330



Record 5
3
Lattice="0.000 3.006 3.006 3.006 0.000 3.006 3.006 3.006 0.000" Properties=species:S:1:pos:R:3 comment="SmBPt PBE optimized geometry" spacegroup=F-43m relative_energy_ev_per_fu=0.000 pbc="T T T"
Pt 1.503 1.503 1.503
Sm 4.508 4.508 4.508
B 0.000 0.000 0.000



Record 6
6
Lattice="5.462 0.000 0.000 -2.731 4.730 0.000 0.000 0.000 6.555" Properties=species:S:1:pos:R:3 comment="SrCuBi PBE optimized geometry" spacegroup=P6_3/mmc total_energy_ev_per_cell=-19.23 pbc="T T T"
Cu 0.000 0.000 0.000
Cu 0.000 0.000 3.278
Sr 0.000 3.153 4.917
Sr 2.731 1.577 1.639
Bi 2.731 1.577 4.917
Bi 0.000 3.153 1.639



Record 7
3
Lattice="-3.421 -4.666 -1.117 -5.722 0.138 1.404 -4.071 0.282 -4.251" Properties=species:S:1:pos:R:3 comment="CsUFe PBE optimized geometry" spacegroup=F-43m relative_energy_ev_per_fu=3.079 pbc="T T T"
Cs 0.000 0.000 0.000
Fe -3.303 -1.062 -0.991
U -9.910 -3.185 -2.974



Record 8
52
Lattice="-5.649 -0.667 9.825 -7.041 6.878 0.659 -11.193 -3.575 2.201" Properties=species:S:1:pos:R:3 comment="CuH8C8I5N4 PBE optimized geometry" spacegroup=Fdd2 total_energy_ev_per_cell=-291.17 pbc="T T T"
I -9.508 4.919 3.365
I -9.460 -2.667 4.050
I -15.772 -2.394 7.616
I -12.633 5.836 10.167
I -2.121 1.630 0.300
I -7.751 2.676 3.076
I -7.938 -1.458 6.154
I -14.499 -1.469 10.010
I -4.128 3.590 0.878
I -5.913 0.283 2.853
C -13.831 2.318 8.733
C -11.906 -2.634 7.203
C -9.561 4.998 7.266
C -11.421 1.201 3.681
C -10.819 -1.698 8.993
C -12.031 -1.380 6.621
C -12.898 3.248 2.774
C -12.903 2.897 4.115
C -9.185 2.389 6.789
C -16.089 1.450 7.574
C -15.043 2.348 9.406
C -10.634 4.126 7.175
C -11.409 1.558 2.340
C -8.112 3.265 6.871
C -10.952 -0.444 8.416
C -14.878 1.428 6.896
N -19.480 1.004 9.312
N -18.339 4.071 9.053
N -16.185 1.911 8.837
N -11.556 -0.271 7.221
N -17.796 1.917 11.697
N -13.736 1.861 7.468
N -10.458 2.810 6.939
N -12.167 1.868 4.584
H -12.916 2.662 9.218
H -14.821 1.043 5.875
H -10.814 0.367 4.039
H -10.576 0.445 8.924
H -9.021 1.329 6.587
H -13.501 3.459 4.834
H -20.914 2.481 9.678
H -10.313 -1.818 9.953
H -13.512 4.075 2.412
H -19.333 3.357 7.355
H -11.658 4.488 7.288
H -12.528 -1.264 5.656
H -18.283 -0.673 8.947
H -17.001 1.094 7.091
H -16.450 0.333 11.450
H -15.104 2.740 10.423
Cu -17.951 2.230 9.728
Cu -11.980 1.571 6.557



Record 9
11
Lattice="-2.073 2.177 12.941 2.073 -2.177 12.941 2.073 2.177 -12.941" Properties=species:S:1:pos:R:3 comment="Pr3Zn2Ge4Pd2 PBE optimized geometry" spacegroup=Immm total_energy_ev_per_cell=-53.91 pbc="T T T"
Ge 0.000 0.000 17.885
Ge 0.000 2.177 11.685
Ge 0.000 0.000 7.996
Ge 2.073 0.000 1.256
Zn 0.000 2.177 6.486
Zn 2.073 0.000 6.455
Pd 0.000 0.000 10.483
Pd 0.000 0.000 15.399
Pr 0.000 2.177 0.000
Pr 0.000 0.000 22.104
Pr 0.000 0.000 3.778



Record 10
4
Lattice="0.000 3.064 3.064 3.064 0.000 3.064 3.064 3.064 0.000" Properties=species:S:1:pos:R:3 comment="LiNi2Bi PBE optimized geometry" spacegroup=F-43m total_energy_ev_per_cell=-17.17 pbc="T T T"
Bi 3.064 3.064 3.064
Li 1.532 1.532 1.532
Ni 4.596 4.596 4.596
Ni 0.000 0.000 0.000



Record 11
5
Lattice="-2.045 2.045 5.048 2.045 -2.045 5.048 2.045 2.045 -5.048" Properties=species:S:1:pos:R:3 comment="NdCoNiGe2 PBE optimized geometry" spacegroup=I-4m2 total_energy_ev_per_cell=-29.85 pbc="T T T"
Ge 0.000 2.045 3.840
Ge 0.000 2.045 1.208
Nd 2.045 0.000 2.524
Co 0.000 0.000 0.000
Ni 0.000 0.000 5.048



Record 12
4
Lattice="0.000 3.293 3.293 3.293 0.000 3.293 3.293 3.293 0.000" Properties=species:S:1:pos:R:3 comment="ZnCoAgBi PBE optimized geometry" spacegroup=F-43m relative_energy_ev_per_fu=0.000 pbc="T T T"
Co 4.940 4.940 4.940
Zn 3.293 3.293 3.293
Bi 0.000 0.000 0.000
Ag 1.647 1.647 1.647



- Number 1 is which compound?
  ScZnFe2